(1)
A plane-wave DFT calculation with GGA-PBE was carried out for an optimized crystal structure of PrTm2Pb2. Values from VASP.

Calculated values
As for the crystal system: monoclinic. Its formation energy from the elements is -0.302 eV/atom. The calculation puts the total energy at -22.65 eV for the cell shown. The calculation puts the theoretical density at 9.549 g/cm³.

Structure (Quantum ESPRESSO input):
```
&SYSTEM
  ibrav = 0, nat = 5, ntyp = 3
/
ATOMIC_SPECIES
Pr 140.91 Pr.upf
Tm 168.93 Tm.upf
Pb 207.20 Pb.upf
ATOMIC_POSITIONS crystal
Pr 0.0000 0.0000 0.0000
Tm 0.2500 0.7500 0.5000
Tm 0.7500 0.2500 0.5000
Pb 0.3936 0.3936 0.7907
Pb 0.6064 0.6064 0.2093
CELL_PARAMETERS angstrom
3.3127 -3.3202 0.0000
3.3127 3.3202 0.0000
-3.2846 0.0000 7.0605
```



(2)
A plane-wave DFT calculation with GGA-PBE was carried out for an optimized crystal structure of PrTm2Pb. Values from VASP.

Calculated values
Its energy relative to the lowest polymorph listed for this composition is 48.1 meV per atom. As for the crystal system: tetragonal. Its formation energy from the elements is -0.267 eV/atom. The calculation puts the total energy at -18.50 eV for the cell shown. The calculation puts the theoretical density at 9.752 g/cm³.

Structure (Quantum ESPRESSO input):
```
&SYSTEM
  ibrav = 0, nat = 4, ntyp = 3
/
ATOMIC_SPECIES
Pr 140.91 Pr.upf
Tm 168.93 Tm.upf
Pb 207.20 Pb.upf
ATOMIC_POSITIONS crystal
Pr 0.0000 0.0000 0.0000
Tm 0.0000 0.5000 0.5000
Tm 0.5000 0.0000 0.5000
Pb 0.5000 0.5000 0.0000
CELL_PARAMETERS angstrom
4.9102 0.0000 0.0000
0.0000 4.9102 0.0000
0.0000 0.0000 4.8446
```



(3)
A plane-wave DFT calculation with GGA-PBE was carried out for an optimized crystal structure of Pr2TmPb2. Values from VASP.

Calculated values
Its energy relative to the lowest polymorph listed for this composition is 0.0 meV per atom. As for the crystal system: tetragonal. Its formation energy from the elements is -0.520 eV/atom. The calculation puts the total energy at -48.10 eV for the cell shown. The calculation puts the theoretical density at 9.064 g/cm³.

Structure (Quantum ESPRESSO input):
```
&SYSTEM
  ibrav = 0, nat = 10, ntyp = 3
/
ATOMIC_SPECIES
Pr 140.91 Pr.upf
Tm 168.93 Tm.upf
Pb 207.20 Pb.upf
ATOMIC_POSITIONS crystal
Pr 0.1688 0.3312 0.0000
Pr 0.3312 0.8312 0.0000
Pr 0.6688 0.1688 0.0000
Pr 0.8312 0.6688 0.0000
Tm 0.0000 0.0000 0.5000
Tm 0.5000 0.5000 0.5000
Pb 0.1365 0.6365 0.5000
Pb 0.3635 0.1365 0.5000
Pb 0.6365 0.8635 0.5000
Pb 0.8635 0.3635 0.5000
CELL_PARAMETERS angstrom
8.2616 0.0000 0.0000
0.0000 8.2616 0.0000
0.0000 0.0000 4.6443
```



(4)
A plane-wave DFT calculation with GGA-PBE was carried out for an optimized crystal structure of Pr3Tm4Pb4. Values from VASP.

Calculated values
As for the crystal system: orthorhombic. Its formation energy from the elements is -0.390 eV/atom. The calculation puts the total energy at -51.35 eV for the cell shown. The calculation puts the theoretical density at 9.208 g/cm³.

Structure (Quantum ESPRESSO input):
```
&SYSTEM
  ibrav = 0, nat = 11, ntyp = 3
/
ATOMIC_SPECIES
Pr 140.91 Pr.upf
Tm 168.93 Tm.upf
Pb 207.20 Pb.upf
ATOMIC_POSITIONS crystal
Pr 0.0000 0.0000 0.0000
Pr 0.3888 0.8888 0.5000
Pr 0.6112 0.1112 0.5000
Tm 0.0242 0.3280 0.6962
Tm 0.3682 0.6720 0.6962
Tm 0.6318 0.3280 0.3038
Tm 0.9758 0.6720 0.3038
Pb 0.2400 0.2400 0.0000
Pb 0.2896 0.5000 0.7896
Pb 0.7104 0.5000 0.2104
Pb 0.7600 0.7600 0.0000
CELL_PARAMETERS angstrom
-2.1893 4.7105 8.4250
2.1893 -4.7105 8.4250
2.1893 4.7105 -8.4250
```



(5)
A plane-wave DFT calculation with GGA-PBE was carried out for an optimized crystal structure of Pr2TmPb. Values from VASP.

Calculated values
Its energy relative to the lowest polymorph listed for this composition is 0.0 meV per atom. As for the crystal system: tetragonal. Its formation energy from the elements is -0.303 eV/atom. The calculation puts the total energy at -18.95 eV for the cell shown. The calculation puts the theoretical density at 8.922 g/cm³.

Structure (Quantum ESPRESSO input):
```
&SYSTEM
  ibrav = 0, nat = 4, ntyp = 3
/
ATOMIC_SPECIES
Pr 140.91 Pr.upf
Tm 168.93 Tm.upf
Pb 207.20 Pb.upf
ATOMIC_POSITIONS crystal
Pr 0.0000 0.5000 0.0000
Pr 0.5000 0.0000 0.0000
Tm 0.0000 0.0000 0.5000
Pb 0.5000 0.5000 0.5000
CELL_PARAMETERS angstrom
4.9409 0.0000 0.0000
0.0000 4.9409 0.0000
0.0000 0.0000 5.0162
```



(6)
A plane-wave DFT calculation with GGA-PBE was carried out for an optimized crystal structure of PrTm2Pb. Values from VASP.

Calculated values
Its energy relative to the lowest polymorph listed for this composition is 73.2 meV per atom. As for the crystal system: orthorhombic. Its formation energy from the elements is -0.242 eV/atom. The calculation puts the total energy at -36.80 eV for the cell shown. The calculation puts the theoretical density at 8.951 g/cm³.

Structure (Quantum ESPRESSO input):
```
&SYSTEM
  ibrav = 0, nat = 8, ntyp = 3
/
ATOMIC_SPECIES
Pr 140.91 Pr.upf
Tm 168.93 Tm.upf
Pb 207.20 Pb.upf
ATOMIC_POSITIONS crystal
Pr 0.0547 0.9453 0.7500
Pr 0.9453 0.0547 0.2500
Tm 0.3661 0.6339 0.5505
Tm 0.3661 0.6339 0.9495
Tm 0.6339 0.3661 0.0505
Tm 0.6339 0.3661 0.4495
Pb 0.2419 0.7581 0.2500
Pb 0.7581 0.2419 0.7500
CELL_PARAMETERS angstrom
2.1656 -6.3262 0.0000
2.1656 6.3262 0.0000
0.0000 0.0000 9.2892
```



(7)
A plane-wave DFT calculation with GGA-PBE was carried out for an optimized crystal structure of PrTm3Pb2. Values from VASP.

Calculated values
Its energy relative to the lowest polymorph listed for this composition is 0.0 meV per atom. As for the crystal system: tetragonal. Its formation energy from the elements is -0.362 eV/atom. The calculation puts the total energy at -27.78 eV for the cell shown. The calculation puts the theoretical density at 9.883 g/cm³.

Structure (Quantum ESPRESSO input):
```
&SYSTEM
  ibrav = 0, nat = 6, ntyp = 3
/
ATOMIC_SPECIES
Pr 140.91 Pr.upf
Tm 168.93 Tm.upf
Pb 207.20 Pb.upf
ATOMIC_POSITIONS crystal
Pr 0.0000 0.0000 0.0000
Tm 0.0000 0.5000 0.3413
Tm 0.5000 0.0000 0.6587
Tm 0.5000 0.5000 0.0000
Pb 0.0000 0.5000 0.7075
Pb 0.5000 0.0000 0.2925
CELL_PARAMETERS angstrom
4.5614 0.0000 0.0000
0.0000 4.5614 0.0000
0.0000 0.0000 8.5770
```



(8)
A plane-wave DFT calculation with GGA-PBE was carried out for an optimized crystal structure of Pr2Tm2Pb3. Values from VASP.

Calculated values
As for the crystal system: monoclinic. Its formation energy from the elements is -0.241 eV/atom. The calculation puts the total energy at -31.31 eV for the cell shown. The calculation puts the theoretical density at 7.629 g/cm³.

Structure (Quantum ESPRESSO input):
```
&SYSTEM
  ibrav = 0, nat = 7, ntyp = 3
/
ATOMIC_SPECIES
Pr 140.91 Pr.upf
Tm 168.93 Tm.upf
Pb 207.20 Pb.upf
ATOMIC_POSITIONS crystal
Pr 0.1409 0.1409 0.2630
Pr 0.8591 0.8591 0.7370
Tm 0.3513 0.3513 0.1261
Tm 0.6487 0.6487 0.8739
Pb 0.2055 0.2055 0.7043
Pb 0.5000 0.5000 0.0000
Pb 0.7945 0.7945 0.2957
CELL_PARAMETERS angstrom
8.1564 -2.3351 0.0000
8.1564 2.3351 0.0000
-3.8202 0.0000 7.0929
```



> theoretical density of number 3 (Pr2TmPb2)?

9.064 g/cm³